12
Lattice="-5.5033 5.8764 -5.1773 2.4464 -0.9944 -3.7292 -4.5590 -9.8387 -0.3671" Properties=species:S:1:pos:R:3 comment="KSmMgTe3 (PBE, relaxed)" e_tot_ev_per_cell=-48.1 vol_a3_per_cell=453.2 spacegroup=P2_1/m pbc="T T T"
Sm -3.2538 -5.4378 -2.0843
Mg -3.0934 2.1096 -3.9916
Te -4.3100 -0.3610 -4.1310
K -6.7575 -3.3546 -4.9383
Te -1.1332 -3.3492 -1.2501
Mg -4.5225 -7.0663 -5.2820
Sm -4.3621 0.4810 -7.1893
Te -5.3013 -8.0264 -2.7372
Te -3.3058 -4.5957 -5.1426
Te -6.4827 -1.6075 -8.0235
K -0.8584 -1.6022 -4.3354
Te -2.3146 3.0696 -6.5364